Entry from Alexandria via LeMat-Bulk: AcNd5In6 after structural relaxation (GGA-PBE).

Lattice parameters (Å, degrees): 5.553 7.783 9.588 113.95 106.49 90.00
Fractional coordinates of all 12 atoms:
In 0.829 0.570 0.658
In 0.829 0.088 0.658
In 0.171 0.912 0.342
In 0.500 0.269 0.000
In 0.171 0.430 0.342
In 0.500 0.731 0.000
Nd 0.000 0.500 0.000
Nd 0.339 0.839 0.679
Nd 0.670 0.670 0.340
Nd 0.330 0.330 0.660
Nd 0.661 0.161 0.321
Ac 0.000 0.000 0.000

Properties
**DOS(E_F)**: 0.564 states/eV per atom
**Formation energy**: -0.47 eV per atom
**Total DFT energy (no corrections)**: -4.17 eV/atom

Entry from Alexandria via LeMat-Bulk: Ac6NdIn2 after structural relaxation (GGA-PBE).

Lattice parameters (Å, degrees): 4.063 7.352 12.894 73.62 80.94 73.96
Fractional coordinates of all 9 atoms:
Ac 0.971 0.725 0.333
Ac 0.691 0.215 0.404
Ac 0.029 0.275 0.667
Ac 0.309 0.785 0.596
Ac 0.676 0.528 0.121
Ac 0.324 0.472 0.879
In 0.646 0.893 0.816
In 0.354 0.107 0.184
Nd 0.000 0.000 0.000

Properties
**DOS(E_F)**: 1.239 states/eV per atom
**Formation energy**: -0.17 eV per atom
**Total DFT energy (no corrections)**: -4.05 eV/atom

Entry from Alexandria via LeMat-Bulk: AcNd3In4 after structural relaxation (GGA-PBE).

Lattice parameters (Å, degrees): 5.576 7.850 11.152 90.00 90.00 90.00
Fractional coordinates of all 16 atoms:
Nd 0.505 0.500 0.750
Nd 0.000 0.000 0.500
Nd 0.506 0.000 0.750
Nd 0.495 0.500 0.250
Nd 0.494 0.000 0.250
Nd 0.000 0.000 0.000
In 0.500 0.239 0.000
In 0.007 0.239 0.750
In 0.993 0.761 0.250
In 0.007 0.761 0.750
In 0.993 0.239 0.250
In 0.500 0.761 0.500
In 0.500 0.761 0.000
In 0.500 0.239 0.500
Ac 0.000 0.500 0.500
Ac 0.000 0.500 0.000

Properties
**DOS(E_F)**: 0.500 states/eV per atom
**Formation energy**: -0.46 eV per atom
**Total DFT energy (no corrections)**: -4.13 eV/atom

Entry from Alexandria via LeMat-Bulk: AcNd2In after structural relaxation (GGA-PBE).

Lattice parameters (Å, degrees): 3.801 3.801 9.434 90.00 90.00 90.00
Fractional coordinates of all 4 atoms:
Ac 0.500 0.500 0.500
In 0.500 0.500 0.000
Nd 0.000 0.000 0.783
Nd 0.000 0.000 0.217

Properties
**DOS(E_F)**: 1.073 states/eV per atom
**Excess energy over the best structure of this formula in the dataset**: 0 meV per atom
**Formation energy**: -0.23 eV per atom
**Total DFT energy (no corrections)**: -4.32 eV/atom

Entry from Alexandria via LeMat-Bulk: AcNdIn2 after structural relaxation (GGA-PBE).

Lattice parameters (Å, degrees): 3.997 3.997 7.951 90.00 90.00 90.00
Fractional coordinates of all 4 atoms:
In 0.000 0.000 0.771
In 0.000 0.000 0.229
Ac 0.500 0.500 0.500
Nd 0.500 0.500 0.000

Properties
**DOS(E_F)**: 0.660 states/eV per atom
**Formation energy**: -0.46 eV per atom
**Total DFT energy (no corrections)**: -4.04 eV/atom

Entry from Alexandria via LeMat-Bulk: Ac5Nd2In4 after structural relaxation (GGA-PBE).

Lattice parameters (Å, degrees): 3.804 9.064 12.832 110.68 98.52 90.00
Fractional coordinates of all 11 atoms:
Nd 0.277 0.277 0.554
Nd 0.723 0.723 0.446
In 0.000 0.674 0.000
In 0.586 0.586 0.171
In 0.000 0.326 0.000
In 0.414 0.414 0.829
Ac 0.500 0.000 0.000
Ac 0.142 0.932 0.284
Ac 0.858 0.068 0.716
Ac 0.858 0.648 0.716
Ac 0.142 0.352 0.284

Properties
**DOS(E_F)**: 1.303 states/eV per atom
**Formation energy**: -0.05 eV per atom
**Total DFT energy (no corrections)**: -3.78 eV/atom

Entry from Alexandria via LeMat-Bulk: AcNd4In4 after structural relaxation (GGA-PBE).

Lattice parameters (Å, degrees): 6.260 9.545 9.545 90.00 90.00 90.00
Fractional coordinates of all 18 atoms:
Nd 0.879 0.341 0.077
Nd 0.379 0.577 0.159
Nd 0.621 0.841 0.577
Nd 0.379 0.423 0.841
Nd 0.121 0.077 0.659
Nd 0.879 0.659 0.923
Nd 0.621 0.159 0.423
Nd 0.121 0.923 0.341
In 0.601 0.889 0.212
In 0.899 0.611 0.288
In 0.101 0.288 0.389
In 0.899 0.389 0.712
In 0.399 0.212 0.111
In 0.601 0.111 0.788
In 0.101 0.712 0.611
In 0.399 0.788 0.889
Ac 0.500 0.500 0.500
Ac 0.000 0.000 0.000

Properties
**DOS(E_F)**: 1.017 states/eV per atom
**Formation energy**: -0.25 eV per atom
**Total DFT energy (no corrections)**: -4.04 eV/atom

Entry from Alexandria via LeMat-Bulk: Ac5NdIn4 after structural relaxation (GGA-PBE).

Lattice parameters (Å, degrees): 3.905 3.905 23.479 90.00 90.00 90.00
Fractional coordinates of all 10 atoms:
Ac 0.500 0.500 0.307
Ac 0.500 0.500 0.885
Ac 0.500 0.500 0.693
Ac 0.500 0.500 0.115
Ac 0.500 0.500 0.500
In 0.000 0.000 0.403
In 0.000 0.000 0.790
In 0.000 0.000 0.210
In 0.000 0.000 0.597
Nd 0.000 0.000 0.000

Properties
**DOS(E_F)**: 1.174 states/eV per atom
**Formation energy**: -0.32 eV per atom
**Total DFT energy (no corrections)**: -3.94 eV/atom

Entry from Alexandria via LeMat-Bulk: Ac9Nd4In11 after structural relaxation (GGA-PBE).

Lattice parameters (Å, degrees): 3.850 14.806 14.806 107.66 90.00 90.00
Fractional coordinates of all 24 atoms:
Ac 0.500 0.620 0.155
Ac 0.500 0.380 0.845
Ac 0.500 0.155 0.620
Ac 0.500 0.968 0.791
Ac 0.500 0.032 0.209
Ac 0.500 0.500 0.500
Ac 0.500 0.791 0.968
Ac 0.500 0.845 0.380
Ac 0.500 0.209 0.032
In 0.000 0.583 0.946
In 0.000 0.375 0.625
In 0.000 0.824 0.176
In 0.000 0.000 0.000
In 0.000 0.241 0.241
In 0.000 0.946 0.583
In 0.000 0.759 0.759
In 0.000 0.417 0.054
In 0.000 0.625 0.375
In 0.000 0.176 0.824
In 0.000 0.054 0.417
Nd 0.500 0.249 0.425
Nd 0.500 0.425 0.249
Nd 0.500 0.575 0.751
Nd 0.500 0.751 0.575

Properties
**DOS(E_F)**: 0.931 states/eV per atom
**Formation energy**: -0.36 eV per atom
**Total DFT energy (no corrections)**: -3.95 eV/atom

Entry from Alexandria via LeMat-Bulk: Ac3NdIn8 after structural relaxation (GGA-PBE).

Lattice parameters (Å, degrees): 6.243 6.243 10.915 73.38 73.38 60.00
Fractional coordinates of all 12 atoms:
In 0.936 0.436 0.191
In 0.687 0.687 0.938
In 0.188 0.188 0.436
In 0.440 0.938 0.684
In 0.436 0.436 0.191
In 0.436 0.936 0.191
In 0.938 0.440 0.684
In 0.938 0.938 0.684
Ac 0.375 0.375 0.874
Ac 0.999 0.999 0.002
Ac 0.500 0.500 0.500
Nd 0.875 0.875 0.374

Properties
**DOS(E_F)**: 0.818 states/eV per atom
**Formation energy**: -0.42 eV per atom
**Total DFT energy (no corrections)**: -3.67 eV/atom

Entry from Alexandria via LeMat-Bulk: AcNd2In after structural relaxation (GGA-PBE).

Lattice parameters (Å, degrees): 3.708 3.708 12.486 81.46 81.46 60.00
Fractional coordinates of all 4 atoms:
Nd 0.099 0.099 0.702
Nd 0.901 0.901 0.298
In 0.500 0.500 0.500
Ac 0.000 0.000 0.000

Properties
**DOS(E_F)**: 1.546 states/eV per atom
**Excess energy over the best structure of this formula in the dataset**: 261 meV per atom
**Formation energy**: 0.03 eV per atom
**Total DFT energy (no corrections)**: -4.06 eV/atom

Entry from Alexandria via LeMat-Bulk: AcNdIn3 after structural relaxation (GGA-PBE).

Lattice parameters (Å, degrees): 4.753 4.594 14.738 98.97 90.00 90.00
Fractional coordinates of all 10 atoms:
Ac 0.750 0.924 0.849
Ac 0.250 0.076 0.151
Nd 0.750 0.205 0.411
Nd 0.250 0.795 0.589
In 0.750 0.525 0.051
In 0.750 0.318 0.636
In 0.750 0.623 0.247
In 0.250 0.682 0.364
In 0.250 0.475 0.949
In 0.250 0.377 0.753

Properties
**DOS(E_F)**: 0.872 states/eV per atom
**Formation energy**: -0.45 eV per atom
**Total DFT energy (no corrections)**: -3.86 eV/atom

Entry from Alexandria via LeMat-Bulk: AcNdIn2 after structural relaxation (GGA-PBE).

Lattice parameters (Å, degrees): 3.980 3.980 10.323 78.88 78.88 60.00
Fractional coordinates of all 4 atoms:
Ac 0.000 0.000 0.000
Nd 0.500 0.500 0.500
In 0.754 0.754 0.738
In 0.246 0.246 0.262

Properties
**DOS(E_F)**: 0.635 states/eV per atom
**Formation energy**: -0.27 eV per atom
**Total DFT energy (no corrections)**: -3.86 eV/atom

Entry from Alexandria via LeMat-Bulk: Ac2NdIn after structural relaxation (GGA-PBE).

Lattice parameters (Å, degrees): 3.778 3.778 12.876 81.56 81.56 60.00
Last column: magnetic moment on the atom in μB.
Fractional coordinates of all 4 atoms:
Ac 0.095 0.095 0.714  0.04
Ac 0.905 0.905 0.286  0.04
In 0.500 0.500 0.500  0.00
Nd 0.000 0.000 0.000  0.21

Properties
**DOS(E_F)**: 1.628 states/eV per atom
**Excess energy over the best structure of this formula in the dataset**: 301 meV per atom
**Formation energy**: 0.11 eV per atom
**Total DFT energy (no corrections)**: -3.82 eV/atom